# LaZn2Fe2 | Alexandria | GGA-PBE | optimized geometry
data_LaZn2Fe2
_symmetry_space_group_name_H-M 'P 1'
_symmetry_Int_Tables_number 1
_symmetry_space_group_name_Hall 'P 1'
_cell_length_a 7.477
_cell_length_b 7.477
_cell_length_c 2.868
_cell_angle_alpha 90.00
_cell_angle_beta 90.00
_cell_angle_gamma 90.00
loop_
_atom_site_label
_atom_site_fract_x
_atom_site_fract_y
_atom_site_fract_z
La1 0.000 0.000 0.000
La2 0.500 0.500 0.000
Zn1 0.124 0.376 0.500
Zn2 0.376 0.876 0.500
Zn3 0.624 0.124 0.500
Zn4 0.876 0.624 0.500
Fe1 0.168 0.668 0.000
Fe2 0.332 0.168 0.000
Fe3 0.668 0.832 0.000
Fe4 0.832 0.332 0.000
# - VASP energy (eV per formula unit) = -23.5
# - magnetic moment (μB/f.u.) = 2.925
# - calculated volume (Å³/atom) = 16.0
# - symmetry = P4/mbm (127)